(1)
Material: ZnCdSe2
Method: DFT, PBE
State: optimized geometry

Cell lengths 4.196, 7.287, 7.340 Å; angles 99.29, 90.01, 106.72 degrees
Space group P1 (No. 1)
Asymmetric unit:
Zn: 0.000 0.000 0.000
Zn: 0.257 0.512 0.761
Cd: 0.505 0.010 0.511
Cd: 0.750 0.497 0.247
Se: 0.075 0.151 0.716
Se: 0.312 0.622 0.457
Se: 0.554 0.108 0.174
Se: 0.820 0.638 0.928

Output
Crystal system = triclinic
Spin magnetization = 0.00 μB/cell
Formation energy (no corrections) = -63.7 kJ/mol of atoms
N(E_F) = 0.00 states/eV/f.u.


(2)
Material: Zn2Cd2Se
Method: DFT, PBE
State: optimized geometry

Cell lengths 6.861, 6.861, 4.515 Å; angles 90.00, 90.00, 90.00 degrees
Space group P4/mbm (No. 127)
Asymmetric unit:
Zn: 0.132 0.368 0.000
Cd: 0.166 0.666 0.500
Se: 0.000 0.000 0.000

Output
Crystal system = tetragonal
Spin magnetization = 0.00 μB/cell
E above lowest polymorph = 0 meV per atom
Formation energy (no corrections) = 4.2 kJ/mol of atoms
N(E_F) = 1.91 states/eV/f.u.


(3)
Material: ZnCdSe2
Method: DFT, PBE
State: optimized geometry

Cell lengths 3.928, 20.098, 4.986 Å; angles 90.00, 90.00, 90.00 degrees
Space group Cmcm (No. 63)
Asymmetric unit:
Zn: 0.000 0.064 0.250
Cd: 0.000 0.326 0.250
Se: 0.000 0.062 0.750
Se: 0.000 0.188 0.250

Output
Crystal system = orthorhombic
Spin magnetization = 0.00 μB/cell
Formation energy (no corrections) = -18.8 kJ/mol of atoms
N(E_F) = 1.30 states/eV/f.u.


(4)
Material: ZnCdSe2
Method: DFT, PBE
State: optimized geometry

Cell lengths 4.260, 3.580, 6.831 Å; angles 90.00, 96.10, 90.00 degrees
Space group P2/m (No. 10)
Asymmetric unit:
Zn: 0.000 0.000 0.000
Cd: 0.000 0.000 0.500
Se: 0.236 0.500 0.241

Output
Crystal system = monoclinic
Spin magnetization = 0.00 μB/cell
Formation energy (no corrections) = -21.9 kJ/mol of atoms
N(E_F) = 1.01 states/eV/f.u.


(5)
Material: ZnCdSe2
Method: DFT, PBE
State: optimized geometry

Cell lengths 7.262, 7.262, 6.544 Å; angles 90.00, 90.00, 90.00 degrees
Space group I4/mcm (No. 140)
Asymmetric unit:
Zn: 0.000 0.500 0.250
Cd: 0.000 0.000 0.250
Se: 0.185 0.315 0.000

Output
Crystal system = tetragonal
Spin magnetization = 0.00 μB/cell
Formation energy (no corrections) = -30.6 kJ/mol of atoms
N(E_F) = 0.26 states/eV/f.u.


(6)
Material: ZnCdSe2
Method: DFT, PBE
State: optimized geometry

Cell lengths 3.696, 3.772, 8.178 Å; angles 90.00, 90.00, 90.00 degrees
Space group Pmmm (No. 47)
Asymmetric unit:
Zn: 0.000 0.000 0.000
Cd: 0.000 0.500 0.500
Se: 0.500 0.000 0.500
Se: 0.500 0.500 0.000

Output
Crystal system = orthorhombic
Spin magnetization = 0.00 μB/cell
Formation energy (no corrections) = -14.9 kJ/mol of atoms
N(E_F) = 1.13 states/eV/f.u.


(7)
Material: ZnCdSe2
Method: DFT, PBE
State: optimized geometry

Cell lengths 3.761, 4.817, 9.835 Å; angles 90.00, 90.00, 90.00 degrees
Space group Cmm2 (No. 35)
Asymmetric unit:
Zn: 0.000 0.000 0.000
Cd: 0.000 0.500 0.779
Se: 0.000 0.000 0.543
Se: 0.000 0.500 0.182

Output
Crystal system = orthorhombic
Spin magnetization = 0.00 μB/cell
Formation energy (no corrections) = 12.8 kJ/mol of atoms
N(E_F) = 1.93 states/eV/f.u.


(8)
Material: ZnCdSe2
Method: DFT, PBE
State: optimized geometry

Cell lengths 6.190, 11.131, 6.172 Å; angles 90.00, 90.00, 90.00 degrees
Space group Ibam (No. 72)
Asymmetric unit:
Zn: 0.000 0.000 0.250
Cd: 0.000 0.500 0.250
Se: 0.222 0.134 0.000

Output
Crystal system = orthorhombic
Spin magnetization = 0.00 μB/cell
Formation energy (no corrections) = -47.7 kJ/mol of atoms
N(E_F) = 0.00 states/eV/f.u.


(9)
Material: ZnCdSe2
Method: DFT, PBE
State: optimized geometry

Cell lengths 3.701, 23.659, 4.373 Å; angles 90.00, 90.00, 90.00 degrees
Space group Cmcm (No. 63)
Asymmetric unit:
Zn: 0.000 0.189 0.250
Cd: 0.000 0.459 0.250
Se: 0.000 0.294 0.250
Se: 0.000 0.395 0.750

Output
Crystal system = orthorhombic
Spin magnetization = 0.00 μB/cell
Formation energy (no corrections) = -9.9 kJ/mol of atoms
N(E_F) = 1.39 states/eV/f.u.


(10)
Material: ZnCdSe2
Method: DFT, PBE
State: optimized geometry

Cell lengths 4.1961, 4.1961, 24.5416 Å; angles 90.00, 90.00, 120.00 degrees
Space group R3m (No. 160, hexagonal axes)
Asymmetric unit:
Zn: 0.0000 0.0000 0.0000
Cd: 0.0000 0.0000 0.1679
Se: 0.0000 0.0000 0.4679
Se: 0.0000 0.0000 0.6516

Output
Crystal system = trigonal
Spin magnetization = 0.00 μB/cell
Formation energy (no corrections) = -37.1 kJ/mol of atoms
N(E_F) = 0.10 states/eV/f.u.